Entry from Alexandria via LeMat-Bulk: a geometry-optimized Nd2CrNi3Pt12 structure (PBE).

Final energy, Ry/atom: -0.452
Density, g/cm³: 14.15

Lattice parameters (Å, degrees): 9.2869 9.2869 9.2869 42.83 42.83 42.83
Closest atoms and distances in Å follow each position.
Fractional positions:
Nd  0.6552  0.6552  0.6552  6 Pt 3.00-3.15
Nd  0.3448  0.3448  0.3448  6 Pt 3.00-3.15
Cr  0.0000  0.0000  0.0000  6 Pt 2.39
Ni  0.5000  0.0000  0.0000  6 Pt 2.48-2.52
Ni  0.0000  0.5000  0.0000  6 Pt 2.48-2.52
Ni  0.0000  0.0000  0.5000  6 Pt 2.48-2.52
Pt  0.4129  0.4129  0.8161  2 Ni 2.48, 4 Pt 2.64-2.73
Pt  0.9251  0.9251  0.3525  1 Cr 2.39, 1 Ni 2.52, 2 Pt 2.64
Pt  0.3525  0.9251  0.9251  1 Cr 2.39, 1 Ni 2.52, 2 Pt 2.64
Pt  0.8161  0.4129  0.4129  2 Ni 2.48, 4 Pt 2.64-2.73
Pt  0.9251  0.3525  0.9251  1 Cr 2.39, 1 Ni 2.52, 2 Pt 2.64
Pt  0.4129  0.8161  0.4129  2 Ni 2.48, 4 Pt 2.64-2.73
Pt  0.5871  0.5871  0.1839  2 Ni 2.48, 4 Pt 2.64-2.73
Pt  0.0749  0.0749  0.6475  1 Cr 2.39, 1 Ni 2.52, 2 Pt 2.64
Pt  0.6475  0.0749  0.0749  1 Cr 2.39, 1 Ni 2.52, 2 Pt 2.64
Pt  0.1839  0.5871  0.5871  2 Ni 2.48, 4 Pt 2.64-2.73
Pt  0.0749  0.6475  0.0749  1 Cr 2.39, 1 Ni 2.52, 2 Pt 2.64
Pt  0.5871  0.1839  0.5871  2 Ni 2.48, 4 Pt 2.64-2.73